A geometry-optimized NaIn3Te structure. Source: Alexandria via LeMat-Bulk, functional GGA-PBE.

Cell lengths 5.5925, 5.5925, 5.5925 Å; angles 90.00, 90.00, 90.00 degrees
Fractional positions:
Na 0.0000 0.0000 0.0000
In 0.0000 0.0000 0.5000
In 0.0000 0.5000 0.0000
In 0.5000 0.0000 0.0000
Te 0.5000 0.5000 0.5000

For the magnetic moment, the calculation gives 0.00 μB per atom. The calculation puts the uncorrected formation energy at 0.335 eV/atom. The distance to the lowest polymorph of the same formula is 29 meV/atom. The calculated density comes out at 4.700 Mg/m³. As for the symmetry: Pm-3m, No. 221. The volume comes out at 35.0 Å³/atom.